[1]
{
  "formula": "Cd2SiOs",
  "functional": "GGA-PBE",
  "state": "optimized geometry",
  "lattice": [[1.421, -2.434, 0.000], [1.421, 2.434, 0.000], [0.000, 0.000, 10.477]],
  "species": ["Cd", "Cd", "Si", "Os"],
  "fractional_positions": [[0.000, 0.000, 0.238], [0.000, 0.000, 0.762], [0.500, 0.500, 0.500], [0.500, 0.500, 0.000]],
  "e_form_raw_ev_per_atom": 0.637
}


[2]
{
  "formula": "CrRe3Ni",
  "functional": "GGA-PBE",
  "state": "optimized geometry",
  "lattice": [[4.365, 0.000, 0.000], [0.000, 4.365, 0.000], [0.000, 0.000, 4.365]],
  "species": ["Cr", "Re", "Re", "Re", "Ni"],
  "fractional_positions": [[0.000, 0.000, 0.000], [0.000, 0.500, 0.500], [0.500, 0.000, 0.500], [0.500, 0.500, 0.000], [0.500, 0.500, 0.500]],
  "dft_energy_ry_per_atom": -0.634
}


[3]
{
  "formula": "DyHo3Ru2",
  "functional": "GGA-PBE",
  "state": "optimized geometry",
  "lattice": [[-3.348, 6.725, 3.494], [3.348, -6.725, 3.494], [3.348, 6.725, -3.494]],
  "species": ["Dy", "Dy", "Ho", "Ho", "Ho", "Ho", "Ho", "Ho", "Ru", "Ru", "Ru", "Ru"],
  "fractional_positions": [[0.000, 0.000, 0.000], [0.500, 0.500, 0.000], [0.014, 0.250, 0.764], [0.250, 0.750, 0.500], [0.486, 0.250, 0.236], [0.514, 0.750, 0.764], [0.750, 0.250, 0.500], [0.986, 0.750, 0.236], [0.134, 0.722, 0.856], [0.366, 0.222, 0.587], [0.634, 0.778, 0.413], [0.866, 0.278, 0.144]],
  "dft_energy_ry_per_atom": -0.470
}


[4]
{
  "formula": "Cu2HgPt9",
  "functional": "GGA-PBE",
  "state": "optimized geometry",
  "lattice": [[3.948, 0.000, 0.000], [0.000, 3.948, 0.000], [0.000, 0.000, 11.975]],
  "species": ["Cu", "Cu", "Hg", "Pt", "Pt", "Pt", "Pt", "Pt", "Pt", "Pt", "Pt", "Pt"],
  "fractional_positions": [[0.000, 0.000, 0.161], [0.000, 0.000, 0.839], [0.000, 0.000, 0.500], [0.000, 0.500, 0.000], [0.000, 0.500, 0.320], [0.000, 0.500, 0.680], [0.500, 0.000, 0.000], [0.500, 0.000, 0.320], [0.500, 0.000, 0.680], [0.500, 0.500, 0.160], [0.500, 0.500, 0.500], [0.500, 0.500, 0.840]],
  "dft_energy_ry_per_atom": -0.389
}


[5]
{
  "formula": "KCdFeH6",
  "functional": "GGA-PBE",
  "state": "optimized geometry",
  "lattice": [[2.465, -4.105, 0.000], [2.465, 4.105, 0.000], [-0.002, 0.000, 5.123]],
  "species": ["K", "Cd", "Fe", "H", "H", "H", "H", "H", "H"],
  "fractional_positions": [[0.000, 0.000, 0.000], [0.664, 0.336, 0.500], [0.322, 0.678, 0.500], [0.065, 0.527, 0.723], [0.065, 0.528, 0.276], [0.456, 0.542, 0.283], [0.458, 0.544, 0.717], [0.472, 0.935, 0.724], [0.473, 0.935, 0.277]],
  "dft_energy_ry_per_atom": -0.251
}


[6]
{
  "formula": "LiIrRh3",
  "functional": "GGA-PBE",
  "state": "optimized geometry",
  "lattice": [[7.194, 0.000, 0.000], [0.000, 5.612, 0.000], [0.000, 0.000, 7.012]],
  "species": ["Li", "Li", "Li", "Li", "Ir", "Ir", "Ir", "Ir", "Rh", "Rh", "Rh", "Rh", "Rh", "Rh", "Rh", "Rh", "Rh", "Rh", "Rh", "Rh"],
  "fractional_positions": [[0.177, 0.250, 0.157], [0.323, 0.750, 0.657], [0.677, 0.250, 0.343], [0.823, 0.750, 0.843], [0.000, 0.000, 0.500], [0.000, 0.500, 0.500], [0.500, 0.000, 0.000], [0.500, 0.500, 0.000], [0.133, 0.518, 0.875], [0.133, 0.982, 0.875], [0.153, 0.750, 0.197], [0.347, 0.250, 0.697], [0.367, 0.018, 0.375], [0.367, 0.482, 0.375], [0.633, 0.518, 0.625], [0.633, 0.982, 0.625], [0.653, 0.750, 0.303], [0.847, 0.250, 0.803], [0.867, 0.018, 0.125], [0.867, 0.482, 0.125]],
  "dft_energy_ry_per_atom": -0.466
}


[7]
{
  "formula": "CaGa2Sb",
  "functional": "GGA-PBE",
  "state": "optimized geometry",
  "lattice": [[4.501, 0.000, 0.000], [0.000, 4.501, 0.000], [0.000, 0.000, 4.687]],
  "species": ["Ca", "Ga", "Ga", "Sb"],
  "fractional_positions": [[0.000, 0.000, 0.000], [0.000, 0.500, 0.500], [0.500, 0.000, 0.500], [0.500, 0.500, 0.000]],
  "e_form_raw_ev_per_atom": -0.396
}


[8]
{
  "formula": "Ac3Tb2PmS6",
  "functional": "GGA-PBE",
  "state": "optimized geometry",
  "lattice": [[3.531, -6.130, 0.000], [3.531, 6.130, 0.000], [-2.368, 0.000, 6.919]],
  "species": ["Ac", "Ac", "Ac", "Tb", "Tb", "Pm", "S", "S", "S", "S", "S", "S"],
  "fractional_positions": [[0.000, 0.000, 0.000], [0.335, 0.665, 0.000], [0.665, 0.335, 0.000], [0.167, 0.833, 0.500], [0.833, 0.167, 0.500], [0.500, 0.500, 0.500], [0.086, 0.425, 0.275], [0.235, 0.235, 0.722], [0.425, 0.086, 0.275], [0.575, 0.914, 0.725], [0.765, 0.765, 0.278], [0.914, 0.575, 0.725]],
  "e_form_raw_ev_per_atom": -2.002
}


[9]
{
  "formula": "La2PrHgC",
  "functional": "GGA-PBE",
  "state": "optimized geometry",
  "lattice": [[-3.616, 3.616, 5.322], [3.616, -3.616, 5.322], [3.616, 3.616, -5.322]],
  "species": ["La", "La", "La", "La", "Pr", "Pr", "Hg", "Hg", "C", "C"],
  "fractional_positions": [[0.199, 0.699, 0.897], [0.301, 0.199, 0.500], [0.699, 0.801, 0.500], [0.801, 0.301, 0.103], [0.247, 0.247, 0.000], [0.747, 0.747, 0.000], [0.250, 0.750, 0.500], [0.750, 0.250, 0.500], [0.015, 0.015, 0.000], [0.515, 0.515, 0.000]],
  "dft_energy_ry_per_atom": -0.373
}


[10]
{
  "formula": "Nd3Pa4Rh8",
  "functional": "GGA-PBE",
  "state": "optimized geometry",
  "lattice": [[0.000, 6.774, 6.774], [6.774, 0.000, 6.774], [6.774, 6.774, 0.000]],
  "species": ["Nd", "Nd", "Nd", "Nd", "Nd", "Nd", "Pa", "Pa", "Pa", "Pa", "Pa", "Pa", "Pa", "Pa", "Rh", "Rh", "Rh", "Rh", "Rh", "Rh", "Rh", "Rh", "Rh", "Rh", "Rh", "Rh", "Rh", "Rh", "Rh", "Rh"],
  "fractional_positions": [[0.228, 0.228, 0.772], [0.228, 0.772, 0.228], [0.228, 0.772, 0.772], [0.772, 0.228, 0.228], [0.772, 0.228, 0.772], [0.772, 0.772, 0.228], [0.000, 0.000, 0.000], [0.000, 0.000, 0.500], [0.000, 0.500, 0.000], [0.000, 0.500, 0.500], [0.500, 0.000, 0.000], [0.500, 0.000, 0.500], [0.500, 0.500, 0.000], [0.500, 0.500, 0.500], [0.133, 0.622, 0.622], [0.161, 0.161, 0.161], [0.161, 0.161, 0.518], [0.161, 0.518, 0.161], [0.378, 0.378, 0.378], [0.378, 0.378, 0.867], [0.378, 0.867, 0.378], [0.482, 0.839, 0.839], [0.518, 0.161, 0.161], [0.622, 0.133, 0.622], [0.622, 0.622, 0.133], [0.622, 0.622, 0.622], [0.839, 0.482, 0.839], [0.839, 0.839, 0.482], [0.839, 0.839, 0.839], [0.867, 0.378, 0.378]],
  "dft_energy_ry_per_atom": -0.583
}


[11]
{
  "formula": "MoAs4Br",
  "functional": "GGA-PBE",
  "state": "optimized geometry",
  "lattice": [[0.000, 4.182, 4.182], [4.182, 0.000, 4.182], [4.182, 4.182, 0.000]],
  "species": ["Mo", "As", "As", "As", "As", "Br"],
  "fractional_positions": [[0.000, 0.000, 0.000], [0.181, 0.606, 0.606], [0.606, 0.181, 0.606], [0.606, 0.606, 0.181], [0.606, 0.606, 0.606], [0.250, 0.250, 0.250]],
  "e_form_raw_ev_per_atom": 0.758
}


[12]
{
  "formula": "CaMgCd2",
  "functional": "GGA-PBE",
  "state": "optimized geometry",
  "lattice": [[0.000, 3.633, 3.658], [3.597, 0.000, 3.658], [3.597, 3.633, 0.000]],
  "species": ["Ca", "Mg", "Cd", "Cd"],
  "fractional_positions": [[0.000, 0.000, 0.000], [0.250, 0.250, 0.250], [0.500, 0.500, 0.500], [0.750, 0.750, 0.750]],
  "dft_energy_ry_per_atom": -0.115
}


no.,D(E_F) (states/eV/atom),total magnetic moment (μB/f.u.)
1,0.708,0.200
2,2.019,0.000
3,0.381,0.000
4,1.279,0.000
5,0.166,1.003
6,1.476,0.000
7,0.357,0.000
8,0.454,0.000
9,1.035,0.000
10,1.084,1.433
11,0.293,4.964
12,0.305,0.000